The following is a DFT calculation (PBE-GGA) of a geometry-optimized LaIn3Hg structure.

Calculated values
Size of the total moment   0.000 μB/f.u.
Crystal system   triclinic
Final energy   -13.3 eV per cell

Unit cell a=5.765 b=5.765 c=5.776 alpha=106.07 beta=105.58 gamma=105.62
Space group P-1 (No. 2)
Asymmetric unit:
1 La 0.000 0.000 0.000 x1
2 In 0.000 0.500 0.500 x1
3 In 0.500 0.000 0.500 x1
4 In 0.500 0.500 0.000 x1
5 Hg 0.500 0.500 0.500 x1

=====

The following is a DFT calculation (PBE-GGA) of a geometry-optimized LaIn3Hg structure.

Calculated values
Size of the total moment   0.001 μB/f.u.
Crystal system   cubic
Final energy   -10.3 eV per cell

Unit cell a=6.259 b=6.259 c=6.259 alpha=90.00 beta=90.00 gamma=90.00
Space group Pm-3m (No. 221)
Asymmetric unit:
1 La 0.000 0.000 0.000 x1
2 In 0.000 0.000 0.500 x3
3 Hg 0.500 0.500 0.500 x1